Al2Cr2Hg: relaxed, PBE.

Unit cell a=7.057 b=7.057 c=3.102 alpha=90.00 beta=90.00 gamma=90.00
Positions (direct):
Cr (0.604, 0.104, 0.000)
Cr (0.396, 0.896, 0.000)
Cr (0.104, 0.396, 0.000)
Cr (0.896, 0.604, 0.000)
Hg (0.000, 0.000, 0.000)
Hg (0.500, 0.500, 0.000)
Al (0.684, 0.816, 0.500)
Al (0.184, 0.684, 0.500)
Al (0.816, 0.316, 0.500)
Al (0.316, 0.184, 0.500)

Calculated values
relative energy among the computed polymorphs = 0 meV per atom
energy = -5.22 eV per atom
space-group type = P4/mbm
ΔH_f (0 K) = 0.1902 eV/atom